CsV2F6 | PBE+U | relaxed

Structure (extended XYZ):
```
9
Lattice="5.585 0.000 0.000 -2.793 4.837 0.000 0.000 0.000 6.406" Properties=species:S:1:pos:R:3 pbc="T T T"
Cs 0.000 0.000 0.000
V 0.000 3.225 3.203
V 2.793 1.612 3.203
F -1.079 1.870 4.306
F -1.713 2.967 2.101
F 2.159 0.000 4.306
F 1.079 1.870 2.101
F 3.426 0.000 2.101
F 1.713 2.967 4.306
```

Calculated volume = 19.23 Å³ per atom
Final energy = -5.791 eV/atom